[1]
Compound: La3Tb12Tl
Source: Alexandria via LeMat-Bulk
Functional: PBE-GGA
Structure: relaxed

a = 5.017 Å, b = 5.017 Å, c = 20.478 Å
α = 90.00°, β = 90.00°, γ = 90.00°
Space group P4/mmm (No. 123)
Unique sites:
La: 0.000 0.000 0.000 [1 per cell]
La: 0.000 0.000 0.251 [2 per cell]
Tb: 0.000 0.500 0.127 [4 per cell]
Tb: 0.000 0.500 0.381 [4 per cell]
Tb: 0.500 0.500 0.000 [1 per cell]
Tb: 0.500 0.500 0.258 [2 per cell]
Tb: 0.500 0.500 0.500 [1 per cell]
Tl: 0.000 0.000 0.500 [1 per cell]

- energy of formation from the pure elements (eV per atom) = -0.012

***

[2]
Compound: TlIn3I9
Source: Alexandria via LeMat-Bulk
Functional: PBE-GGA
Structure: relaxed

a = 20.780 Å, b = 11.292 Å, c = 15.981 Å
α = 90.00°, β = 129.06°, γ = 90.00°
Space group Cc (No. 9)
Unique sites:
Tl: 0.000 0.021 0.000 [4 per cell]
In: 0.012 0.310 0.259 [4 per cell]
In: 0.170 0.362 0.783 [4 per cell]
In: 0.318 0.122 0.168 [4 per cell]
I: 0.026 0.294 0.587 [4 per cell]
I: 0.078 0.099 0.365 [4 per cell]
I: 0.134 0.485 0.398 [4 per cell]
I: 0.200 0.117 0.203 [4 per cell]
I: 0.247 0.178 0.941 [4 per cell]
I: 0.278 0.488 0.772 [4 per cell]
I: 0.376 0.134 0.750 [4 per cell]
I: 0.450 0.283 0.300 [4 per cell]
I: 0.467 0.185 0.558 [4 per cell]

- raw formation energy (eV/f.u.) = -5.98